{
  "formula": "Cs2NiF",
  "functional": "PBE with a Hubbard U",
  "state": "optimized geometry",
  "n_ef_per_ev_fu": 31.4,
  "final_energy_ev_per_fu": -7.842,
  "relative_energy_mev_per_atom": 439,
  "lattice_angstrom": [[8.1953, 0.0000, 0.0000], [0.0000, 8.1953, 0.0000], [0.0000, 0.0000, 8.1953]],
  "species": ["Cs", "Cs", "Cs", "Cs", "Cs", "Cs", "Cs", "Cs", "Ni", "Ni", "Ni", "Ni", "F", "F", "F", "F"],
  "fractional_positions": [[0.2500, 0.2500, 0.2500], [0.2500, 0.2500, 0.7500], [0.2500, 0.7500, 0.2500], [0.2500, 0.7500, 0.7500], [0.7500, 0.2500, 0.2500], [0.7500, 0.2500, 0.7500], [0.7500, 0.7500, 0.2500], [0.7500, 0.7500, 0.7500], [0.0000, 0.0000, 0.0000], [0.0000, 0.5000, 0.5000], [0.5000, 0.0000, 0.5000], [0.5000, 0.5000, 0.0000], [0.0000, 0.0000, 0.5000], [0.0000, 0.5000, 0.0000], [0.5000, 0.0000, 0.0000], [0.5000, 0.5000, 0.5000]]
}